Record 1
First-principles (PBE-GGA) data for an optimized crystal structure of La3MgN, as listed in Alexandria via LeMat-Bulk.

As for the energy above the most stable polymorph in this dataset: 383 meV per atom.

Cell: 13.740 13.740 13.740 Å, 90.00 90.00 90.00°
Space group Fd-3m (No. 227, origin choice 2)
Inequivalent atoms, fractional coordinates:
La 0.062 0.375 0.375
Mg 0.000 0.000 0.500
N 0.000 0.000 0.000

---

Record 2
First-principles (PBE-GGA) data for an optimized crystal structure of La3MgN, as listed in Alexandria via LeMat-Bulk.

As for the energy above the most stable polymorph in this dataset: 49 meV per atom.

Cell: 7.363 10.358 7.355 Å, 90.00 90.00 90.00°
Space group Cmmm (No. 65)
Inequivalent atoms, fractional coordinates:
La 0.000 0.250 0.239
La 0.250 0.000 0.000
Mg 0.249 0.000 0.500
N 0.250 0.250 0.000

---

Record 3
First-principles (PBE-GGA) data for an optimized crystal structure of La3MgN, as listed in Alexandria via LeMat-Bulk.

As for the energy above the most stable polymorph in this dataset: 170 meV per atom.

Cell: 7.586 9.951 7.373 Å, 90.00 90.00 90.00°
Space group Cmcm (No. 63)
Inequivalent atoms, fractional coordinates:
La 0.000 0.243 0.250
La 0.232 0.000 0.000
Mg 0.000 0.233 0.750
N 0.000 0.004 0.250

---

Record 4
First-principles (PBE-GGA) data for an optimized crystal structure of La3MgN, as listed in Alexandria via LeMat-Bulk.

As for the energy above the most stable polymorph in this dataset: 340 meV per atom.

Cell: 10.2414 10.2414 5.5456 Å, 90.00 90.00 120.00°
Space group R3m (No. 160, hexagonal axes)
Inequivalent atoms, fractional coordinates:
La 0.2120 0.4239 0.0000
Mg 0.0000 0.0000 0.8351
N 0.0000 0.0000 0.4635

---

Record 5
First-principles (PBE-GGA) data for an optimized crystal structure of La3MgN, as listed in Alexandria via LeMat-Bulk.

As for the energy above the most stable polymorph in this dataset: 1128 meV per atom.

Cell: 4.5901 4.5901 17.4712 Å, 90.00 90.00 120.00°
Space group P6_3/mmc (No. 194)
Inequivalent atoms, fractional coordinates:
La 0.0000 0.0000 0.2500
La 0.3333 0.6667 0.0630
Mg 0.3333 0.6667 0.2500
N 0.0000 0.0000 0.0000

---

Record 6
First-principles (PBE-GGA) data for an optimized crystal structure of La3MgN, as listed in Alexandria via LeMat-Bulk.

As for the energy above the most stable polymorph in this dataset: 291 meV per atom.

Cell: 6.991 12.719 7.413 Å, 90.00 90.00 90.00°
Space group Cmcm (No. 63)
Inequivalent atoms, fractional coordinates:
La 0.000 0.000 0.000
La 0.236 0.279 0.250
Mg 0.000 0.459 0.750
N 0.000 0.122 0.750

---

Record 7
First-principles (PBE-GGA) data for an optimized crystal structure of LaMgN2, as listed in Alexandria via LeMat-Bulk.

Cell: 5.025 5.025 11.030 Å, 90.00 90.00 90.00°
Space group I-42d (No. 122)
Inequivalent atoms, fractional coordinates:
La 0.000 0.000 0.000
Mg 0.000 0.000 0.500
N 0.210 0.250 0.625

---

Record 8
First-principles (PBE-GGA) data for an optimized crystal structure of La3MgN, as listed in Alexandria via LeMat-Bulk.

As for the energy above the most stable polymorph in this dataset: 301 meV per atom.

Cell: 10.1491 10.1491 10.3256 Å, 90.00 90.00 120.00°
Space group R-3c (No. 167, hexagonal axes)
Inequivalent atoms, fractional coordinates:
La 0.0000 0.2232 0.2500
Mg 0.0000 0.0000 0.0000
N 0.0000 0.0000 0.2500

---

Record 9
First-principles (PBE-GGA) data for an optimized crystal structure of La3MgN, as listed in Alexandria via LeMat-Bulk.

As for the energy above the most stable polymorph in this dataset: 239 meV per atom.

Cell: 4.2070 4.2070 20.2637 Å, 90.00 90.00 120.00°
Space group P6_3/mmc (No. 194)
Inequivalent atoms, fractional coordinates:
La 0.0000 0.0000 0.2500
La 0.3333 0.6667 0.1239
Mg 0.0000 0.0000 0.0000
N 0.3333 0.6667 0.2500

---

Record 10
First-principles (PBE-GGA) data for an optimized crystal structure of La3MgN, as listed in Alexandria via LeMat-Bulk.

As for the energy above the most stable polymorph in this dataset: 131 meV per atom.

Cell: 9.161 6.631 10.240 Å, 90.00 116.08 90.00°
Space group P2_1/c (No. 14)
Inequivalent atoms, fractional coordinates:
La 0.062 0.075 0.357
La 0.195 0.583 0.544
La 0.325 0.129 0.752
Mg 0.430 0.667 0.909
N 0.062 0.249 0.093

---

Record 11
First-principles (PBE-GGA) data for an optimized crystal structure of LaMgN3, as listed in Alexandria via LeMat-Bulk.

Cell: 4.269 4.269 4.269 Å, 90.00 90.00 90.00°
Space group Pm-3m (No. 221)
Inequivalent atoms, fractional coordinates:
La 0.000 0.000 0.000
Mg 0.500 0.500 0.500
N 0.000 0.000 0.500

---

Record 12
First-principles (PBE-GGA) data for an optimized crystal structure of La3MgN, as listed in Alexandria via LeMat-Bulk.

As for the energy above the most stable polymorph in this dataset: 87 meV per atom.

Cell: 6.415 6.533 7.273 Å, 85.03 67.39 80.92°
Space group P1 (No. 1)
Inequivalent atoms, fractional coordinates:
La 0.000 0.000 0.000
La 0.007 0.484 0.208
La 0.439 0.663 0.602
La 0.465 0.191 0.376
La 0.517 0.708 0.102
La 0.955 0.903 0.491
Mg 0.518 0.207 0.862
Mg 0.974 0.432 0.697
N 0.221 0.560 0.415
N 0.726 0.826 0.295

---

| no. | uncorrected energy (eV per atom) | formation energy (no corrections) (eV per atom) |
| --- | --- | --- |
| 1 | -5.180 | -0.239 |
| 2 | -5.514 | -0.574 |
| 3 | -5.393 | -0.452 |
| 4 | -5.223 | -0.283 |
| 5 | -4.435 | 0.505 |
| 6 | -5.272 | -0.331 |
| 7 | -6.365 | -0.572 |
| 8 | -5.262 | -0.322 |
| 9 | -5.324 | -0.384 |
| 10 | -5.431 | -0.491 |
| 11 | -5.234 | 1.066 |
| 12 | -5.476 | -0.535 |